# 1
! CaHf2Ir2 meta-GGA SCAN single point on PBEsol structure; values from VASP
&SYSTEM
  ibrav = 0, nat = 5, ntyp = 3
/
ATOMIC_SPECIES
Ca 40.08 Ca.upf
Hf 178.49 Hf.upf
Ir 192.22 Ir.upf
ATOMIC_POSITIONS crystal
Ca 0.000 0.000 0.000
Hf 0.250 0.750 0.500
Hf 0.750 0.250 0.500
Ir 0.383 0.383 0.000
Ir 0.617 0.617 0.000
CELL_PARAMETERS angstrom
-2.203 2.203 5.520
2.203 -2.203 5.520
2.203 2.203 -5.520
! V: 21.440 Å³ per atom
! formation enthalpy at 0 K: -0.96 eV/atom
! M_tot: 0.000 μB/atom
! mass density: 12.105 Mg/m³
! Fermi-level density of states: 0.5932 states/eV/atom



# 2
! TlHgW2 meta-GGA SCAN single point on PBEsol structure; values from VASP
&SYSTEM
  ibrav = 0, nat = 4, ntyp = 3
/
ATOMIC_SPECIES
Tl 204.38 Tl.upf
Hg 200.59 Hg.upf
W 183.84 W.upf
ATOMIC_POSITIONS crystal
Tl 0.000 0.000 0.000
Hg 0.000 0.000 0.500
W 0.500 0.500 0.251
W 0.500 0.500 0.749
CELL_PARAMETERS angstrom
1.578 -2.392 0.000
1.578 2.392 0.000
0.000 0.000 9.630
! ΔE to the lowest computed polymorph: 0 meV/atom
! V: 18.166 Å³ per atom
! formation enthalpy at 0 K: 1.08 eV/atom
! M_tot: 0.000 μB/atom
! mass density: 17.656 Mg/m³
! Fermi-level density of states: 0.5310 states/eV/atom



# 3
! YIrSeBr2 meta-GGA SCAN single point on PBEsol structure; values from VASP
&SYSTEM
  ibrav = 0, nat = 5, ntyp = 4
/
ATOMIC_SPECIES
Y 88.91 Y.upf
Ir 192.22 Ir.upf
Se 78.96 Se.upf
Br 79.90 Br.upf
ATOMIC_POSITIONS crystal
Y 0.000 0.000 0.000
Ir 0.500 0.500 0.500
Se 0.000 0.000 0.500
Br 0.000 0.500 0.000
Br 0.500 0.000 0.000
CELL_PARAMETERS angstrom
5.297 0.000 0.000
0.000 5.297 0.000
0.000 0.000 5.560
! raw formation energy: 0.4 eV/f.u.
! ΔE to the lowest computed polymorph: 307 meV/atom
! V: 31.197 Å³ per atom
! M_tot: 0.501 μB/atom
! mass density: 5.535 Mg/m³
! Fermi-level density of states: 1.4071 states/eV/atom



# 4
! YSbRh2 meta-GGA SCAN single point on PBEsol structure; values from VASP
&SYSTEM
  ibrav = 0, nat = 4, ntyp = 3
/
ATOMIC_SPECIES
Y 88.91 Y.upf
Sb 121.76 Sb.upf
Rh 102.91 Rh.upf
ATOMIC_POSITIONS crystal
Y 0.000 0.000 0.000
Sb 0.206 0.206 0.206
Rh 0.459 0.459 0.459
Rh 0.788 0.788 0.788
CELL_PARAMETERS angstrom
2.166 1.251 5.001
-2.166 1.251 5.001
0.000 -2.501 5.001
! raw formation energy: -2.7 eV/f.u.
! V: 20.322 Å³ per atom
! M_tot: 0.000 μB/atom
! mass density: 8.508 Mg/m³
! Fermi-level density of states: 0.4022 states/eV/atom



# 5
! HfZrSc2Tl meta-GGA SCAN single point on PBEsol structure; values from VASP
&SYSTEM
  ibrav = 0, nat = 5, ntyp = 4
/
ATOMIC_SPECIES
Hf 178.49 Hf.upf
Zr 91.22 Zr.upf
Sc 44.96 Sc.upf
Tl 204.38 Tl.upf
ATOMIC_POSITIONS crystal
Hf 0.000 0.000 0.000
Zr 0.500 0.500 0.000
Sc 0.000 0.500 0.500
Sc 0.500 0.000 0.500
Tl 0.500 0.500 0.500
CELL_PARAMETERS angstrom
5.164 0.000 0.000
0.000 5.164 0.000
0.000 0.000 5.337
! V: 28.463 Å³ per atom
! formation enthalpy at 0 K: 0.80 eV/atom
! M_tot: 0.596 μB/atom
! mass density: 6.581 Mg/m³
! Fermi-level density of states: 1.1450 states/eV/atom



# 6
! RbMo2As2 meta-GGA SCAN single point on PBEsol structure; values from VASP
&SYSTEM
  ibrav = 0, nat = 5, ntyp = 3
/
ATOMIC_SPECIES
Rb 85.47 Rb.upf
Mo 95.94 Mo.upf
As 74.92 As.upf
ATOMIC_POSITIONS crystal
Rb 0.000 0.000 0.000
Mo 0.250 0.750 0.500
Mo 0.750 0.250 0.500
As 0.362 0.362 0.000
As 0.638 0.638 0.000
CELL_PARAMETERS angstrom
-1.883 1.883 7.908
1.883 -1.883 7.908
1.883 1.883 -7.908
! V: 22.441 Å³ per atom
! formation enthalpy at 0 K: -0.35 eV/atom
! M_tot: 0.000 μB/atom
! mass density: 6.322 Mg/m³
! Fermi-level density of states: 0.1156 states/eV/atom



# 7
! KTl2 meta-GGA SCAN single point on PBEsol structure; values from VASP
&SYSTEM
  ibrav = 0, nat = 3, ntyp = 2
/
ATOMIC_SPECIES
K 39.10 K.upf
Tl 204.38 Tl.upf
ATOMIC_POSITIONS crystal
K 0.000 0.000 0.000
Tl 0.318 0.318 0.000
Tl 0.682 0.682 0.000
CELL_PARAMETERS angstrom
-1.906 1.945 6.452
1.906 -1.945 6.452
1.906 1.945 -6.452
! ΔE to the lowest computed polymorph: 10 meV/atom
! V: 31.886 Å³ per atom
! formation enthalpy at 0 K: -0.18 eV/atom
! M_tot: 0.000 μB/atom
! mass density: 7.775 Mg/m³
! Fermi-level density of states: 0.4481 states/eV/atom



# 8
! ZnP2H6O5 meta-GGA SCAN single point on PBEsol structure; values from VASP
&SYSTEM
  ibrav = 0, nat = 56, ntyp = 4
/
ATOMIC_SPECIES
Zn 65.41 Zn.upf
P 30.97 P.upf
H 1.01 H.upf
O 16.00 O.upf
ATOMIC_POSITIONS crystal
Zn 0.205 0.046 0.101
Zn 0.205 0.454 0.601
Zn 0.795 0.546 0.399
Zn 0.795 0.954 0.899
P 0.023 0.216 0.322
P 0.023 0.284 0.822
P 0.456 0.118 0.676
P 0.456 0.382 0.176
P 0.544 0.618 0.824
P 0.544 0.882 0.324
P 0.977 0.716 0.178
P 0.977 0.784 0.678
H 0.153 0.095 0.400
H 0.153 0.405 0.900
H 0.158 0.643 0.194
H 0.158 0.857 0.694
H 0.168 0.706 0.436
H 0.168 0.794 0.936
H 0.333 0.507 0.096
H 0.333 0.993 0.596
H 0.392 0.674 0.467
H 0.392 0.826 0.967
H 0.397 0.135 0.797
H 0.397 0.365 0.297
H 0.603 0.635 0.703
H 0.603 0.865 0.203
H 0.608 0.174 0.033
H 0.608 0.326 0.533
H 0.667 0.007 0.404
H 0.667 0.493 0.904
H 0.832 0.206 0.064
H 0.832 0.294 0.564
H 0.842 0.143 0.306
H 0.842 0.357 0.806
H 0.847 0.595 0.100
H 0.847 0.905 0.600
O 0.035 0.116 0.906
O 0.035 0.384 0.406
O 0.055 0.236 0.181
O 0.055 0.264 0.681
O 0.284 0.670 0.508
O 0.284 0.830 0.008
O 0.343 0.550 0.790
O 0.343 0.950 0.290
O 0.426 0.208 0.099
O 0.426 0.292 0.599
O 0.574 0.708 0.401
O 0.574 0.792 0.901
O 0.657 0.050 0.710
O 0.657 0.450 0.210
O 0.716 0.170 0.992
O 0.716 0.330 0.492
O 0.945 0.736 0.319
O 0.945 0.764 0.819
O 0.965 0.616 0.594
O 0.965 0.884 0.094
CELL_PARAMETERS angstrom
7.403 0.000 0.000
0.000 7.705 0.000
-2.866 0.000 9.794
! V: 9.976 Å³ per atom
! VASP energy: -7.36 eV per atom
! M_tot: 0.000 μB/atom
! mass density: 2.537 Mg/m³
! Fermi-level density of states: 0.0000 states/eV/atom



# 9
! Zr3Al meta-GGA SCAN single point on PBEsol structure; values from VASP
&SYSTEM
  ibrav = 0, nat = 8, ntyp = 2
/
ATOMIC_SPECIES
Zr 91.22 Zr.upf
Al 26.98 Al.upf
ATOMIC_POSITIONS crystal
Zr 0.171 0.343 0.250
Zr 0.171 0.829 0.250
Zr 0.343 0.171 0.750
Zr 0.657 0.829 0.250
Zr 0.829 0.171 0.750
Zr 0.829 0.657 0.750
Al 0.333 0.667 0.750
Al 0.667 0.333 0.250
CELL_PARAMETERS angstrom
6.119 0.000 0.000
-3.060 5.299 0.000
0.000 0.000 5.009
! V: 20.306 Å³ per atom
! formation enthalpy at 0 K: -0.29 eV/atom
! M_tot: 0.000 μB/atom
! mass density: 6.147 Mg/m³
! Fermi-level density of states: 0.8222 states/eV/atom



# 10
! CuIr2Pt meta-GGA SCAN single point on PBEsol structure; values from VASP
&SYSTEM
  ibrav = 0, nat = 4, ntyp = 3
/
ATOMIC_SPECIES
Cu 63.55 Cu.upf
Ir 192.22 Ir.upf
Pt 195.08 Pt.upf
ATOMIC_POSITIONS crystal
Cu 0.000 0.000 0.000
Ir 0.234 0.734 0.500
Ir 0.766 0.266 0.500
Pt 0.500 0.500 0.000
CELL_PARAMETERS angstrom
-1.355 2.258 4.521
1.355 -2.258 4.521
1.355 2.258 -4.521
! ΔE to the lowest computed polymorph: 197 meV/atom
! V: 13.827 Å³ per atom
! formation enthalpy at 0 K: 0.20 eV/atom
! M_tot: 0.000 μB/atom
! mass density: 19.307 Mg/m³
! Fermi-level density of states: 0.9855 states/eV/atom



# 11
! SrZnCu meta-GGA SCAN single point on PBEsol structure; values from VASP
&SYSTEM
  ibrav = 0, nat = 3, ntyp = 3
/
ATOMIC_SPECIES
Sr 87.62 Sr.upf
Zn 65.41 Zn.upf
Cu 63.55 Cu.upf
ATOMIC_POSITIONS crystal
Sr 0.000 0.000 0.000
Zn 0.333 0.667 0.500
Cu 0.667 0.333 0.500
CELL_PARAMETERS angstrom
4.301 0.000 0.000
-2.151 3.725 0.000
0.000 0.000 4.261
! V: 22.758 Å³ per atom
! formation enthalpy at 0 K: -0.17 eV/atom
! M_tot: 0.000 μB/atom
! mass density: 5.267 Mg/m³
! Fermi-level density of states: 0.5686 states/eV/atom



# 12
! Mn2AlNiC meta-GGA SCAN single point on PBEsol structure; values from VASP
&SYSTEM
  ibrav = 0, nat = 5, ntyp = 4
/
ATOMIC_SPECIES
Mn 54.94 Mn.upf
Al 26.98 Al.upf
Ni 58.69 Ni.upf
C 12.01 C.upf
ATOMIC_POSITIONS crystal
Mn 0.000 0.500 0.000
Mn 0.500 0.000 0.000
Al 0.000 0.000 0.500
Ni 0.500 0.500 0.500
C 0.500 0.500 0.000
CELL_PARAMETERS angstrom
3.753 0.000 0.000
0.000 3.753 0.000
0.000 0.000 3.770
! V: 10.618 Å³ per atom
! formation enthalpy at 0 K: -0.25 eV/atom
! M_tot: 0.824 μB/atom
! mass density: 6.492 Mg/m³
! Fermi-level density of states: 0.6646 states/eV/atom



# 13
! CrNi3 meta-GGA SCAN single point on PBEsol structure; values from VASP
&SYSTEM
  ibrav = 0, nat = 4, ntyp = 2
/
ATOMIC_SPECIES
Cr 52.00 Cr.upf
Ni 58.69 Ni.upf
ATOMIC_POSITIONS crystal
Cr 0.000 0.000 0.000
Ni 0.000 0.000 0.500
Ni 0.667 0.333 0.247
Ni 0.667 0.333 0.753
CELL_PARAMETERS angstrom
2.464 0.000 0.000
-1.232 2.134 0.000
0.000 0.000 7.994
! V: 10.507 Å³ per atom
! formation enthalpy at 0 K: 0.10 eV/atom
! M_tot: 0.497 μB/atom
! mass density: 9.011 Mg/m³
! Fermi-level density of states: 1.0169 states/eV/atom



# 14
! CrCo2Os meta-GGA SCAN single point on PBEsol structure; values from VASP
&SYSTEM
  ibrav = 0, nat = 4, ntyp = 3
/
ATOMIC_SPECIES
Cr 52.00 Cr.upf
Co 58.93 Co.upf
Os 190.23 Os.upf
ATOMIC_POSITIONS crystal
Cr 0.000 0.000 0.000
Co 0.000 0.500 0.500
Co 0.500 0.000 0.500
Os 0.500 0.500 0.000
CELL_PARAMETERS angstrom
3.522 0.000 0.000
0.000 3.522 0.000
0.000 0.000 3.625
! ΔE to the lowest computed polymorph: 0 meV/atom
! V: 11.243 Å³ per atom
! formation enthalpy at 0 K: 0.09 eV/atom
! M_tot: 0.321 μB/atom
! mass density: 13.296 Mg/m³
! Fermi-level density of states: 0.8235 states/eV/atom



# 15
! LiCdO2F meta-GGA SCAN single point on PBEsol structure; values from VASP
&SYSTEM
  ibrav = 0, nat = 5, ntyp = 4
/
ATOMIC_SPECIES
Li 6.94 Li.upf
Cd 112.41 Cd.upf
O 16.00 O.upf
F 19.00 F.upf
ATOMIC_POSITIONS crystal
Li 0.000 0.000 0.000
Cd 0.500 0.500 0.500
O 0.000 0.500 0.000
O 0.500 0.000 0.000
F 0.000 0.000 0.500
CELL_PARAMETERS angstrom
3.689 0.000 0.000
0.000 3.689 0.000
0.000 0.000 3.694
! raw formation energy: -5.1 eV/f.u.
! V: 10.054 Å³ per atom
! M_tot: 0.400 μB/atom
! mass density: 5.627 Mg/m³
! Fermi-level density of states: 0.8469 states/eV/atom



# 16
! AlRuPt2 meta-GGA SCAN single point on PBEsol structure; values from VASP
&SYSTEM
  ibrav = 0, nat = 4, ntyp = 3
/
ATOMIC_SPECIES
Al 26.98 Al.upf
Ru 101.07 Ru.upf
Pt 195.08 Pt.upf
ATOMIC_POSITIONS crystal
Al 0.000 0.000 0.000
Ru 0.500 0.500 0.000
Pt 0.000 0.500 0.500
Pt 0.500 0.000 0.500
CELL_PARAMETERS angstrom
4.598 0.000 0.000
0.000 4.598 0.000
0.000 0.000 2.724
! V: 14.394 Å³ per atom
! formation enthalpy at 0 K: -0.48 eV/atom
! M_tot: 0.000 μB/atom
! mass density: 14.945 Mg/m³
! Fermi-level density of states: 0.6987 states/eV/atom



# 17
! Li2BeAl meta-GGA SCAN single point on PBEsol structure; values from VASP
&SYSTEM
  ibrav = 0, nat = 4, ntyp = 3
/
ATOMIC_SPECIES
Li 6.94 Li.upf
Be 9.01 Be.upf
Al 26.98 Al.upf
ATOMIC_POSITIONS crystal
Li 0.000 0.000 0.239
Li 0.000 0.000 0.761
Be 0.500 0.500 0.000
Al 0.500 0.500 0.500
CELL_PARAMETERS angstrom
2.639 0.000 0.000
0.000 4.107 0.000
0.000 0.000 5.047
! ΔE to the lowest computed polymorph: 170 meV/atom
! V: 13.677 Å³ per atom
! formation enthalpy at 0 K: 0.14 eV/atom
! M_tot: 0.001 μB/atom
! mass density: 1.514 Mg/m³
! Fermi-level density of states: 0.2985 states/eV/atom



# 18
! CrSn3C meta-GGA SCAN single point on PBEsol structure; values from VASP
&SYSTEM
  ibrav = 0, nat = 5, ntyp = 3
/
ATOMIC_SPECIES
Cr 52.00 Cr.upf
Sn 118.71 Sn.upf
C 12.01 C.upf
ATOMIC_POSITIONS crystal
Cr 0.000 0.000 0.000
Sn 0.000 0.500 0.500
Sn 0.500 0.000 0.500
Sn 0.500 0.500 0.000
C 0.500 0.500 0.500
CELL_PARAMETERS angstrom
4.687 0.000 0.000
0.000 4.687 0.000
0.000 0.000 4.687
! ΔE to the lowest computed polymorph: 0 meV/atom
! V: 20.595 Å³ per atom
! formation enthalpy at 0 K: 1.09 eV/atom
! M_tot: 0.913 μB/atom
! mass density: 6.775 Mg/m³
! Fermi-level density of states: 0.5758 states/eV/atom



# 19
! TaMn2CoSi meta-GGA SCAN single point on PBEsol structure; values from VASP
&SYSTEM
  ibrav = 0, nat = 5, ntyp = 4
/
ATOMIC_SPECIES
Ta 180.95 Ta.upf
Mn 54.94 Mn.upf
Co 58.93 Co.upf
Si 28.09 Si.upf
ATOMIC_POSITIONS crystal
Ta 0.000 0.000 0.000
Mn 0.000 0.500 0.000
Mn 0.500 0.000 0.000
Co 0.000 0.000 0.500
Si 0.500 0.500 0.500
CELL_PARAMETERS angstrom
4.546 0.000 0.000
0.000 4.546 0.000
0.000 0.000 4.376
! raw formation energy: 7.5 eV/f.u.
! V: 18.088 Å³ per atom
! M_tot: 1.230 μB/atom
! mass density: 6.937 Mg/m³
! Fermi-level density of states: 0.7017 states/eV/atom



# 20
! Ca2SiIr meta-GGA SCAN single point on PBEsol structure; values from VASP
&SYSTEM
  ibrav = 0, nat = 4, ntyp = 3
/
ATOMIC_SPECIES
Ca 40.08 Ca.upf
Si 28.09 Si.upf
Ir 192.22 Ir.upf
ATOMIC_POSITIONS crystal
Ca 0.000 0.000 0.000
Ca 0.500 0.290 0.290
Si 0.500 0.594 0.594
Ir 0.000 0.698 0.698
CELL_PARAMETERS angstrom
4.103 0.000 0.000
0.000 2.226 5.133
0.000 -2.226 5.133
! raw formation energy: -2.6 eV/f.u.
! V: 23.439 Å³ per atom
! M_tot: 0.000 μB/atom
! mass density: 5.321 Mg/m³
! Fermi-level density of states: 0.4703 states/eV/atom